# 1
## ScTaIn (PBE)

Data for a relaxed ScTaIn crystal.

## Properties
Its formation energy is 25 meV per atom. Its space-group type is No. 44. The distance to the lowest polymorph of the same formula is 81.2 meV per atom. The value obtained for the theoretical density is 9.15 g cm⁻³.

Structure (POSCAR):
```
ScTaIn
1.0
5.508 0.021 -0.015
3.119 4.539 0.015
-4.020 -2.837 2.477
In Sc Ta
1 1 1
direct
0.003 0.003 0.000
0.331 0.331 0.000
0.665 0.665 0.000
```

***

# 2
## LiSb2Rh (PBE)

Data for a relaxed LiSb2Rh crystal.

## Properties
Its space-group type is No. 225. The distance to the lowest polymorph of the same formula is 19.9 meV per atom. The energy relative to the elements, uncorrected is -331.3 meV/atom. The value obtained for the theoretical density is 7.73 g cm⁻³.

Structure (POSCAR):
```
LiSb2Rh
1.0
1.486 -3.033 3.345
-1.263 0.658 4.535
-3.091 -2.965 2.061
Sb Rh Li
2 1 1
direct
0.250 0.250 0.250
0.750 0.750 0.750
0.500 0.500 0.500
0.000 0.000 0.000
```

***

Which E belongs to each record? In order, -6.95; -4.71 eV/atom.